Below is Ba7SeS5 after structural relaxation, with properties calculated at the PBE level.

Cell: 4.5521 27.0777 7.8550 Å, 90.00 106.83 90.00°
Fractional positions:
Ba 0.0420 0.2500 0.0854
Ba 0.1373 0.5353 0.2747
Ba 0.1373 0.9647 0.2747
Ba 0.3215 0.1756 0.6439
Ba 0.3215 0.3244 0.6439
Ba 0.4124 0.6038 0.8245
Ba 0.4124 0.8962 0.8245
Ba 0.5876 0.1038 0.1755
Ba 0.5876 0.3962 0.1755
Ba 0.6785 0.6756 0.3561
Ba 0.6785 0.8244 0.3561
Ba 0.8627 0.0353 0.7253
Ba 0.8627 0.4647 0.7253
Ba 0.9580 0.7500 0.9146
Se 0.2915 0.7500 0.5823
Se 0.7085 0.2500 0.4177
S 0.0441 0.6438 0.0874
S 0.0441 0.8562 0.0874
S 0.2265 0.0739 0.4532
S 0.2265 0.4261 0.4532
S 0.5000 0.0000 0.0000
S 0.5000 0.5000 0.0000
S 0.7735 0.5739 0.5468
S 0.7735 0.9261 0.5468
S 0.9559 0.1438 0.9126
S 0.9559 0.3562 0.9126

Output
* size of the total moment: 0.075 μB/atom
* formation energy from raw total energies: -1.859 eV/atom
* space-group type: P2_1/m
* DOS(E_F): 4.082 states/eV/f.u.
* DFT total energy: -0.175 hartree per atom